Record 1
NdHoBr2O2 | PBE | relaxed

CIF file:
```
data_NdHoBr2O2
_chemical_formula_sum 'Nd1 Ho1 Br2 O2'
_cell_length_a 3.8831
_cell_length_b 3.8831
_cell_length_c 8.4252
_cell_angle_alpha 90.00
_cell_angle_beta 90.00
_cell_angle_gamma 90.00
_symmetry_space_group_name_H-M 'P 1'
_symmetry_Int_Tables_number 1
loop_
_symmetry_equiv_pos_as_xyz
'x,y,z'
loop_
_atom_site_label
_atom_site_fract_x
_atom_site_fract_y
_atom_site_fract_z
Br1 0.0000 0.0000 0.3317
Br2 0.5000 0.5000 0.6616
Ho1 0.5000 0.5000 0.1364
Nd1 0.0000 0.0000 0.8569
O1 0.5000 0.0000 0.0067
O2 0.0000 0.5000 0.0067
```

Properties
As for the symmetry: P4mm (99).

Record 2
SmGe4Pd6 | PBE | relaxed

CIF file:
```
data_SmGe4Pd6
_chemical_formula_sum 'Sm1 Ge4 Pd6'
_cell_length_a 7.3595
_cell_length_b 7.3595
_cell_length_c 3.9711
_cell_angle_alpha 90.00
_cell_angle_beta 90.00
_cell_angle_gamma 120.00
_symmetry_space_group_name_H-M 'P 1'
_symmetry_Int_Tables_number 1
loop_
_symmetry_equiv_pos_as_xyz
'x,y,z'
loop_
_atom_site_label
_atom_site_fract_x
_atom_site_fract_y
_atom_site_fract_z
Ge1 0.3333 0.6667 0.0000
Ge2 0.3827 0.1914 0.5000
Ge3 0.8086 0.1914 0.5000
Ge4 0.8086 0.6173 0.5000
Pd1 0.5354 0.0708 0.0000
Pd2 0.9292 0.4646 0.0000
Pd3 0.5354 0.4646 0.0000
Pd4 0.1995 0.3990 0.5000
Pd5 0.1995 0.8005 0.5000
Pd6 0.6010 0.8005 0.5000
Sm1 0.0000 0.0000 0.0000
```

Properties
As for the symmetry: P-6m2 (187).

Record 3
SrSmPt | PBE | relaxed

CIF file:
```
data_SrSmPt
_chemical_formula_sum 'Sr1 Sm1 Pt1'
_cell_length_a 5.0571
_cell_length_b 5.0571
_cell_length_c 5.0571
_cell_angle_alpha 60.00
_cell_angle_beta 60.00
_cell_angle_gamma 60.00
_symmetry_space_group_name_H-M 'P 1'
_symmetry_Int_Tables_number 1
loop_
_symmetry_equiv_pos_as_xyz
'x,y,z'
loop_
_atom_site_label
_atom_site_fract_x
_atom_site_fract_y
_atom_site_fract_z
Pt1 0.0000 0.0000 0.0000
Sm1 0.2500 0.2500 0.2500
Sr1 0.7500 0.7500 0.7500
```

Properties
As for the symmetry: F-43m (216). The offset from the most stable computed form is 0.0 meV/atom.

Record 4
ZnFeHgAs | PBE | relaxed

CIF file:
```
data_ZnFeHgAs
_chemical_formula_sum 'Zn1 Fe1 Hg1 As1'
_cell_length_a 4.6081
_cell_length_b 4.6081
_cell_length_c 4.6081
_cell_angle_alpha 60.00
_cell_angle_beta 60.00
_cell_angle_gamma 60.00
_symmetry_space_group_name_H-M 'P 1'
_symmetry_Int_Tables_number 1
loop_
_symmetry_equiv_pos_as_xyz
'x,y,z'
loop_
_atom_site_label
_atom_site_fract_x
_atom_site_fract_y
_atom_site_fract_z
As1 0.0000 0.0000 0.0000
Fe1 0.7500 0.7500 0.7500
Hg1 0.5000 0.5000 0.5000
Zn1 0.2500 0.2500 0.2500
```

Properties
As for the symmetry: F-43m (216). The offset from the most stable computed form is 0.0 meV/atom.

Record 5
Ho2Tm2CCl5 | PBE | relaxed

CIF file:
```
data_Ho2Tm2CCl5
_chemical_formula_sum 'Ho2 Tm2 C1 Cl5'
_cell_length_a 8.6329
_cell_length_b 8.6329
_cell_length_c 7.7625
_cell_angle_alpha 102.53
_cell_angle_beta 102.53
_cell_angle_gamma 24.66
_symmetry_space_group_name_H-M 'P 1'
_symmetry_Int_Tables_number 1
loop_
_symmetry_equiv_pos_as_xyz
'x,y,z'
loop_
_atom_site_label
_atom_site_fract_x
_atom_site_fract_y
_atom_site_fract_z
C1 0.5000 0.5000 0.0000
Cl1 0.8272 0.8272 0.1554
Cl2 0.1632 0.1632 0.3317
Cl3 0.5000 0.5000 0.5000
Cl4 0.8368 0.8368 0.6683
Cl5 0.1728 0.1728 0.8446
Ho1 0.9978 0.9978 0.2092
Ho2 0.0022 0.0022 0.7908
Tm1 0.6423 0.6423 0.0779
Tm2 0.3577 0.3577 0.9221
```

Properties
As for the symmetry: C2/m (12).

Record 6
Zr2BeNi | PBE | relaxed

CIF file:
```
data_Zr2BeNi
_chemical_formula_sum 'Zr2 Be1 Ni1'
_cell_length_a 4.4669
_cell_length_b 4.4669
_cell_length_c 4.4669
_cell_angle_alpha 60.00
_cell_angle_beta 60.00
_cell_angle_gamma 60.00
_symmetry_space_group_name_H-M 'P 1'
_symmetry_Int_Tables_number 1
loop_
_symmetry_equiv_pos_as_xyz
'x,y,z'
loop_
_atom_site_label
_atom_site_fract_x
_atom_site_fract_y
_atom_site_fract_z
Be1 0.5000 0.5000 0.5000
Ni1 0.2500 0.2500 0.2500
Zr1 0.0000 0.0000 0.0000
Zr2 0.7500 0.7500 0.7500
```

Properties
As for the symmetry: F-43m (216).

Record 7
SmErIn | PBE | relaxed

CIF file:
```
data_SmErIn
_chemical_formula_sum 'Sm2 Er2 In2'
_cell_length_a 5.4255
_cell_length_b 5.4255
_cell_length_c 6.7677
_cell_angle_alpha 90.00
_cell_angle_beta 90.00
_cell_angle_gamma 120.00
_symmetry_space_group_name_H-M 'P 1'
_symmetry_Int_Tables_number 1
loop_
_symmetry_equiv_pos_as_xyz
'x,y,z'
loop_
_atom_site_label
_atom_site_fract_x
_atom_site_fract_y
_atom_site_fract_z
Er1 0.0000 0.0000 0.0000
Er2 0.0000 0.0000 0.5000
In1 0.6667 0.3333 0.2500
In2 0.3333 0.6667 0.7500
Sm1 0.3333 0.6667 0.2500
Sm2 0.6667 0.3333 0.7500
```

Properties
As for the symmetry: P6_3/mmc (194). The offset from the most stable computed form is 0.0 meV/atom.

Record 8
DyEr2Tm2Lu2Ni2Te2 | PBE | relaxed

CIF file:
```
data_DyEr2Tm2Lu2Ni2Te2
_chemical_formula_sum 'Dy1 Er2 Tm2 Lu2 Ni2 Te2'
_cell_length_a 9.2344
_cell_length_b 9.2344
_cell_length_c 9.2344
_cell_angle_alpha 156.11
_cell_angle_beta 67.14
_cell_angle_gamma 118.31
_symmetry_space_group_name_H-M 'P 1'
_symmetry_Int_Tables_number 1
loop_
_symmetry_equiv_pos_as_xyz
'x,y,z'
loop_
_atom_site_label
_atom_site_fract_x
_atom_site_fract_y
_atom_site_fract_z
Dy1 0.0002 0.0002 0.0000
Er1 0.7163 0.5819 0.1344
Er2 0.4475 0.5819 0.8656
Lu1 0.6920 0.3773 0.3147
Lu2 0.0626 0.3773 0.6853
Ni1 0.3051 0.0693 0.2358
Ni2 0.8334 0.0693 0.7642
Te1 0.3380 0.3380 0.0000
Te2 0.7340 0.2340 0.5000
Tm1 0.0824 0.7295 0.3528
Tm2 0.3767 0.7295 0.6472
```

Properties
As for the symmetry: Imm2 (44). The offset from the most stable computed form is 0.6 meV/atom.

Record 9
Dy2CuNi | PBE | relaxed

CIF file:
```
data_Dy2CuNi
_chemical_formula_sum 'Dy4 Cu2 Ni2'
_cell_length_a 5.4204
_cell_length_b 4.3670
_cell_length_c 7.3907
_cell_angle_alpha 90.00
_cell_angle_beta 110.04
_cell_angle_gamma 90.00
_symmetry_space_group_name_H-M 'P 1'
_symmetry_Int_Tables_number 1
loop_
_symmetry_equiv_pos_as_xyz
'x,y,z'
loop_
_atom_site_label
_atom_site_fract_x
_atom_site_fract_y
_atom_site_fract_z
Cu1 0.6486 0.2500 0.2857
Cu2 0.3514 0.7500 0.7143
Dy1 0.7832 0.7500 0.0676
Dy2 0.2255 0.2500 0.4285
Dy3 0.7745 0.7500 0.5715
Dy4 0.2168 0.2500 0.9324
Ni1 0.3566 0.7500 0.2145
Ni2 0.6434 0.2500 0.7855
```

Properties
The calculation puts the formation energy at -370 meV/atom. As for the symmetry: P2_1/m (11).

Record 10
TcB2Ir2 | PBE | relaxed

CIF file:
```
data_TcB2Ir2
_chemical_formula_sum 'Tc1 B2 Ir2'
_cell_length_a 4.9549
_cell_length_b 4.9549
_cell_length_c 4.9549
_cell_angle_alpha 135.48
_cell_angle_beta 135.48
_cell_angle_gamma 64.79
_symmetry_space_group_name_H-M 'P 1'
_symmetry_Int_Tables_number 1
loop_
_symmetry_equiv_pos_as_xyz
'x,y,z'
loop_
_atom_site_label
_atom_site_fract_x
_atom_site_fract_y
_atom_site_fract_z
B1 0.3923 0.3923 0.0000
B2 0.6077 0.6077 0.0000
Ir1 0.7500 0.2500 0.5000
Ir2 0.2500 0.7500 0.5000
Tc1 0.0000 0.0000 0.0000
```

Properties
As for the symmetry: I4/mmm (139).

Record 11
LiSiNiAg | PBE | relaxed

CIF file:
```
data_LiSiNiAg
_chemical_formula_sum 'Li1 Si1 Ni1 Ag1'
_cell_length_a 4.1804
_cell_length_b 4.1804
_cell_length_c 4.1804
_cell_angle_alpha 60.00
_cell_angle_beta 60.00
_cell_angle_gamma 60.00
_symmetry_space_group_name_H-M 'P 1'
_symmetry_Int_Tables_number 1
loop_
_symmetry_equiv_pos_as_xyz
'x,y,z'
loop_
_atom_site_label
_atom_site_fract_x
_atom_site_fract_y
_atom_site_fract_z
Ag1 0.0000 0.0000 0.0000
Li1 0.7500 0.7500 0.7500
Ni1 0.5000 0.5000 0.5000
Si1 0.2500 0.2500 0.2500
```

Properties
As for the symmetry: F-43m (216). The offset from the most stable computed form is 0.0 meV/atom.

Record 12
NdGaPt | PBE | relaxed

CIF file:
```
data_NdGaPt
_chemical_formula_sum 'Nd4 Ga4 Pt4'
_cell_length_a 7.1378
_cell_length_b 4.4863
_cell_length_c 7.8613
_cell_angle_alpha 90.00
_cell_angle_beta 90.00
_cell_angle_gamma 90.00
_symmetry_space_group_name_H-M 'P 1'
_symmetry_Int_Tables_number 1
loop_
_symmetry_equiv_pos_as_xyz
'x,y,z'
loop_
_atom_site_label
_atom_site_fract_x
_atom_site_fract_y
_atom_site_fract_z
Ga1 0.3357 0.2500 0.0714
Ga2 0.8357 0.2500 0.4286
Ga3 0.1643 0.7500 0.5714
Ga4 0.6643 0.7500 0.9286
Nd1 0.0228 0.7500 0.1953
Nd2 0.5228 0.7500 0.3047
Nd3 0.4772 0.2500 0.6953
Nd4 0.9772 0.2500 0.8047
Pt1 0.7227 0.2500 0.1023
Pt2 0.2227 0.2500 0.3977
Pt3 0.7773 0.7500 0.6023
Pt4 0.2773 0.7500 0.8977
```

Properties
As for the symmetry: Pnma (62).

The VASP energy results, record by record, are as follows: -0.2443, -0.2064, -0.1754, -0.1189, -0.1962, -0.2334, -0.1600, -0.1895, -0.1835, -0.3008, -0.1518, -0.2077 hartree per atom.